Record 1
{
  "formula": "Ca12N5O3",
  "functional": "GGA-PBE",
  "state": "optimized geometry",
  "lattice": [[-8.8905, -4.2472, 8.0760], [6.6007, -9.8676, -4.6220], [7.8966, 7.8878, 6.1423]],
  "species": ["O", "O", "O", "O", "O", "O", "O", "O", "O", "O", "O", "O", "N", "N", "N", "N", "N", "N", "N", "N", "N", "N", "N", "N", "N", "N", "N", "N", "N", "N", "N", "N", "Ca", "Ca", "Ca", "Ca", "Ca", "Ca", "Ca", "Ca", "Ca", "Ca", "Ca", "Ca", "Ca", "Ca", "Ca", "Ca", "Ca", "Ca", "Ca", "Ca", "Ca", "Ca", "Ca", "Ca", "Ca", "Ca", "Ca", "Ca", "Ca", "Ca", "Ca", "Ca", "Ca", "Ca", "Ca", "Ca", "Ca", "Ca", "Ca", "Ca", "Ca", "Ca", "Ca", "Ca", "Ca", "Ca", "Ca", "Ca"],
  "frac_coords": [[0.7500, 0.3750, 0.1250], [0.8750, 0.7500, 0.1250], [0.3750, 0.7500, 0.6250], [0.2500, 0.1250, 0.3750], [0.8750, 0.1250, 0.2500], [0.3750, 0.6250, 0.2500], [0.6250, 0.3750, 0.7500], [0.1250, 0.8750, 0.7500], [0.7500, 0.8750, 0.6250], [0.6250, 0.2500, 0.3750], [0.1250, 0.2500, 0.8750], [0.2500, 0.6250, 0.8750], [0.1250, 0.3750, 0.2500], [0.0000, 0.5000, 0.0000], [0.0000, 0.0000, 0.0000], [0.3750, 0.2500, 0.1250], [0.5000, 0.0000, 0.5000], [0.5000, 0.5000, 0.0000], [0.1250, 0.7500, 0.3750], [0.7500, 0.1250, 0.8750], [0.7500, 0.6250, 0.3750], [0.3750, 0.1250, 0.7500], [0.6250, 0.8750, 0.2500], [0.5000, 0.5000, 0.5000], [0.5000, 0.0000, 0.0000], [0.0000, 0.0000, 0.5000], [0.2500, 0.3750, 0.6250], [0.2500, 0.8750, 0.1250], [0.0000, 0.5000, 0.5000], [0.8750, 0.2500, 0.6250], [0.6250, 0.7500, 0.8750], [0.8750, 0.6250, 0.7500], [0.7088, 0.1323, 0.0326], [0.3238, 0.5326, 0.4003], [0.9674, 0.3677, 0.2912], [0.5326, 0.2088, 0.1323], [0.5765, 0.7088, 0.6762], [0.9674, 0.5997, 0.1762], [0.3238, 0.7912, 0.4235], [0.0997, 0.9235, 0.1323], [0.5997, 0.9674, 0.6762], [0.7088, 0.5765, 0.1762], [0.7912, 0.4674, 0.3677], [0.8238, 0.9003, 0.0326], [0.1323, 0.7088, 0.5326], [0.3677, 0.4003, 0.0765], [0.0765, 0.9003, 0.3677], [0.4235, 0.1323, 0.5997], [0.0765, 0.1762, 0.2088], [0.4674, 0.6762, 0.0997], [0.8238, 0.9235, 0.2912], [0.1323, 0.4235, 0.0997], [0.3677, 0.9674, 0.7912], [0.5997, 0.6323, 0.4235], [0.9003, 0.8238, 0.5326], [0.7912, 0.3238, 0.9235], [0.4003, 0.3677, 0.5765], [0.0997, 0.1762, 0.4674], [0.2088, 0.6762, 0.0765], [0.1762, 0.0765, 0.7088], [0.6323, 0.0326, 0.2088], [0.8677, 0.5765, 0.9003], [0.5326, 0.3238, 0.9003], [0.5765, 0.8677, 0.4003], [0.9235, 0.8238, 0.7912], [0.9235, 0.0997, 0.6323], [0.8677, 0.2912, 0.4674], [0.1762, 0.0997, 0.9674], [0.6323, 0.5997, 0.9235], [0.4003, 0.0326, 0.3238], [0.2912, 0.4235, 0.8238], [0.2088, 0.5326, 0.6323], [0.9003, 0.0765, 0.8677], [0.6762, 0.2088, 0.5765], [0.4674, 0.7912, 0.8677], [0.0326, 0.4003, 0.8238], [0.4235, 0.2912, 0.3238], [0.0326, 0.6323, 0.7088], [0.6762, 0.4674, 0.5997], [0.2912, 0.8677, 0.9674]],
  "m_tot_mub_per_cell": 6.797,
  "spacegroup": "Ia-3d (230)",
  "final_energy_ev_per_cell": -403.77,
  "formation_energy_uncorrected_kcal_per_mol_atoms": -23.55,
  "dos_ef_per_ev_atom": 0.237
}



Record 2
{
  "formula": "SrZnOs2",
  "functional": "GGA-PBE",
  "state": "optimized geometry",
  "lattice": [[-1.7999, -2.7210, 2.9635], [4.0007, -0.8675, 1.6334], [0.2011, 5.3081, 8.2734]],
  "species": ["Sr", "Sr", "Zn", "Zn", "Os", "Os", "Os", "Os"],
  "frac_coords": [[0.0000, 0.0000, 0.0000], [0.7500, 0.2500, 0.5000], [0.5000, 0.5000, 0.0000], [0.2500, 0.7500, 0.5000], [0.2629, 0.1250, 0.2500], [0.4871, 0.6250, 0.2500], [0.3750, 0.7371, 0.7500], [0.8750, 0.5129, 0.7500]],
  "m_tot_mub_per_cell": 0.000,
  "spacegroup": "I-42d (122)",
  "formation_energy_mev_per_atom": 652,
  "final_energy_ev_per_cell": -45.62,
  "dos_ef_per_ev_atom": 0.736
}



Record 3
{
  "formula": "ZrAlCr2",
  "functional": "GGA-PBE",
  "state": "optimized geometry",
  "lattice": [[5.2321, -0.0020, -0.0053], [-2.4183, 4.5417, 0.0111], [0.3961, 0.7902, 2.5642]],
  "species": ["Cr", "Cr", "Al", "Zr"],
  "frac_coords": [[0.0000, 0.0000, 0.0000], [0.5000, 0.0000, 0.5000], [0.5000, 0.5000, 0.0000], [0.0000, 0.5000, 0.5000]],
  "m_tot_mub_per_cell": 0.035,
  "spacegroup": "C2/m (12)",
  "formation_energy_mev_per_atom": 227,
  "final_energy_ev_per_cell": -30.63,
  "dos_ef_per_ev_atom": 0.996
}